[1]
CdSn2Ir: relaxed, GGA-PBE.

abc: 4.9206 4.9206 4.9206
angles: 60.00 60.00 60.00
Closest atoms and distances in Å follow each position.
Atoms (fractional coordinates):
1 Cd 0.7500 0.7500 0.7500  4 Sn 3.01, 4 Ir 3.01
2 Ir 0.0000 0.0000 0.0000  4 Cd 3.01, 4 Sn 3.01
3 Sn 0.2500 0.2500 0.2500  4 Sn 3.01, 4 Ir 3.01
4 Sn 0.5000 0.5000 0.5000  4 Sn 3.01, 4 Cd 3.01

Properties
Magnetic moment ... 0.00 μB/f.u.
Symmetry ... F-43m
E_tot ... -4.1260 eV per atom

---

[2]
KTbAg3O4: relaxed, GGA-PBE.

abc: 5.6608 5.6608 5.6608
angles: 90.00 90.00 90.00
Closest atoms and distances in Å follow each position.
Atoms (fractional coordinates):
1 Ag 0.5000 0.5000 0.0000  4 O 2.37
2 Ag 0.5000 0.0000 0.5000  4 O 2.37
3 Ag 0.0000 0.5000 0.5000  4 O 2.37
4 K 0.0000 0.0000 0.0000  4 O 2.74
5 O 0.2797 0.2797 0.2797  1 Tb 2.16, 3 Ag 2.37
6 O 0.7203 0.7203 0.2797  1 Tb 2.16, 3 Ag 2.37
7 O 0.7203 0.2797 0.7203  1 Tb 2.16, 3 Ag 2.37
8 O 0.2797 0.7203 0.7203  1 Tb 2.16, 3 Ag 2.37
9 Tb 0.5000 0.5000 0.5000  4 O 2.16

Properties
Magnetic moment ... 0.43 μB/f.u.
Symmetry ... P-43m
E_tot ... -4.6751 eV per atom

---

[3]
YMg2Ag2: relaxed, GGA-PBE.

abc: 4.1726 4.1726 7.0101
angles: 107.31 107.31 90.00
Closest atoms and distances in Å follow each position.
Atoms (fractional coordinates):
1 Ag 0.6064 0.6064 0.2127  1 Ag 2.71, 4 Mg 2.77
2 Ag 0.3936 0.3936 0.7873  1 Ag 2.71, 4 Mg 2.77
3 Mg 0.7500 0.2500 0.5000  4 Ag 2.77, 4 Mg 2.95
4 Mg 0.2500 0.7500 0.5000  4 Ag 2.77, 4 Mg 2.95
5 Y 0.0000 0.0000 0.0000  8 Ag 3.25

Properties
Magnetic moment ... 0.02 μB/f.u.
Symmetry ... I4/mmm
E_tot ... -3.2566 eV per atom

---

[4]
Er3Re2Sb3N12: relaxed, GGA-PBE.

abc: 11.0740 11.0740 11.0740
angles: 109.47 109.47 109.47
Closest atoms and distances in Å follow each position.
Atoms (fractional coordinates):
1 Er 0.2500 0.3750 0.1250  8 N 2.47-2.50
2 Er 0.3750 0.7500 0.1250  8 N 2.47-2.50
3 Er 0.3750 0.1250 0.2500  8 N 2.47-2.50
4 Er 0.8750 0.6250 0.2500  8 N 2.47-2.50
5 Er 0.7500 0.1250 0.3750  8 N 2.47-2.50
6 Er 0.1250 0.2500 0.3750  8 N 2.47-2.50
7 Er 0.8750 0.7500 0.6250  8 N 2.47-2.50
8 Er 0.2500 0.8750 0.6250  8 N 2.47-2.50
9 Er 0.1250 0.3750 0.7500  8 N 2.47-2.50
10 Er 0.6250 0.8750 0.7500  8 N 2.47-2.50
11 Er 0.6250 0.2500 0.8750  8 N 2.47-2.50
12 Er 0.7500 0.6250 0.8750  8 N 2.47-2.50
13 N 0.3299 0.9134 0.0311  1 Sb 1.99, 1 Re 2.01
14 N 0.2013 0.1177 0.0311  1 Sb 1.99, 1 Re 2.01
15 N 0.7013 0.6701 0.0835  1 Sb 1.99, 1 Re 2.01
16 N 0.8823 0.4134 0.0835  1 Sb 1.99, 1 Re 2.01
17 N 0.6177 0.4165 0.0866  1 Sb 1.99, 1 Re 2.01
18 N 0.9689 0.6701 0.0866  1 Sb 1.99, 1 Re 2.01
19 N 0.0311 0.2013 0.1177  1 Sb 1.99, 1 Re 2.01
20 N 0.5866 0.9165 0.1177  1 Sb 1.99, 1 Re 2.01
21 N 0.4689 0.5866 0.1701  1 Sb 1.99, 1 Re 2.01
22 N 0.2013 0.5835 0.1701  1 Sb 1.99, 1 Re 2.01
23 N 0.1177 0.0311 0.2013  1 Sb 1.99, 1 Re 2.01
24 N 0.5835 0.1701 0.2013  1 Sb 1.99, 1 Re 2.01
25 N 0.4689 0.3823 0.2987  1 Sb 1.99, 1 Re 2.01
26 N 0.3299 0.9165 0.2987  1 Sb 1.99, 1 Re 2.01
27 N 0.9134 0.0311 0.3299  1 Sb 1.99, 1 Re 2.01
28 N 0.9165 0.2987 0.3299  1 Sb 1.99, 1 Re 2.01
29 N 0.2987 0.4689 0.3823  1 Sb 1.99, 1 Re 2.01
30 N 0.5835 0.9134 0.3823  1 Sb 1.99, 1 Re 2.01
31 N 0.8299 0.5311 0.4134  1 Sb 1.99, 1 Re 2.01
32 N 0.0835 0.8823 0.4134  1 Sb 1.99, 1 Re 2.01
33 N 0.0866 0.6177 0.4165  1 Sb 1.99, 1 Re 2.01
34 N 0.8299 0.7987 0.4165  1 Sb 1.99, 1 Re 2.01
35 N 0.5866 0.1701 0.4689  1 Sb 1.99, 1 Re 2.01
36 N 0.3823 0.2987 0.4689  1 Sb 1.99, 1 Re 2.01
37 N 0.6177 0.7013 0.5311  1 Sb 1.99, 1 Re 2.01
38 N 0.4134 0.8299 0.5311  1 Sb 1.99, 1 Re 2.01
39 N 0.1701 0.2013 0.5835  1 Sb 1.99, 1 Re 2.01
40 N 0.9134 0.3823 0.5835  1 Sb 1.99, 1 Re 2.01
41 N 0.9165 0.1177 0.5866  1 Sb 1.99, 1 Re 2.01
42 N 0.1701 0.4689 0.5866  1 Sb 1.99, 1 Re 2.01
43 N 0.4165 0.0866 0.6177  1 Sb 1.99, 1 Re 2.01
44 N 0.7013 0.5311 0.6177  1 Sb 1.99, 1 Re 2.01
45 N 0.0835 0.7013 0.6701  1 Sb 1.99, 1 Re 2.01
46 N 0.0866 0.9689 0.6701  1 Sb 1.99, 1 Re 2.01
47 N 0.5311 0.6177 0.7013  1 Sb 1.99, 1 Re 2.01
48 N 0.6701 0.0835 0.7013  1 Sb 1.99, 1 Re 2.01
49 N 0.4165 0.8299 0.7987  1 Sb 1.99, 1 Re 2.01
50 N 0.8823 0.9689 0.7987  1 Sb 1.99, 1 Re 2.01
51 N 0.5311 0.4134 0.8299  1 Sb 1.99, 1 Re 2.01
52 N 0.7987 0.4165 0.8299  1 Sb 1.99, 1 Re 2.01
53 N 0.4134 0.0835 0.8823  1 Sb 1.99, 1 Re 2.01
54 N 0.9689 0.7987 0.8823  1 Sb 1.99, 1 Re 2.01
55 N 0.0311 0.3299 0.9134  1 Sb 1.99, 1 Re 2.01
56 N 0.3823 0.5835 0.9134  1 Sb 1.99, 1 Re 2.01
57 N 0.1177 0.5866 0.9165  1 Sb 1.99, 1 Re 2.01
58 N 0.2987 0.3299 0.9165  1 Sb 1.99, 1 Re 2.01
59 N 0.6701 0.0866 0.9689  1 Sb 1.99, 1 Re 2.01
60 N 0.7987 0.8823 0.9689  1 Sb 1.99, 1 Re 2.01
61 Re 0.0000 0.0000 0.0000  6 N 2.01
62 Re 0.5000 0.0000 0.0000  6 N 2.01
63 Re 0.0000 0.5000 0.0000  6 N 2.01
64 Re 0.5000 0.5000 0.0000  6 N 2.01
65 Re 0.0000 0.0000 0.5000  6 N 2.01
66 Re 0.5000 0.0000 0.5000  6 N 2.01
67 Re 0.0000 0.5000 0.5000  6 N 2.01
68 Re 0.5000 0.5000 0.5000  6 N 2.01
69 Sb 0.8750 0.2500 0.1250  4 N 1.99
70 Sb 0.7500 0.8750 0.1250  4 N 1.99
71 Sb 0.6250 0.3750 0.2500  4 N 1.99
72 Sb 0.1250 0.8750 0.2500  4 N 1.99
73 Sb 0.2500 0.6250 0.3750  4 N 1.99
74 Sb 0.6250 0.7500 0.3750  4 N 1.99
75 Sb 0.3750 0.2500 0.6250  4 N 1.99
76 Sb 0.7500 0.3750 0.6250  4 N 1.99
77 Sb 0.8750 0.1250 0.7500  4 N 1.99
78 Sb 0.3750 0.6250 0.7500  4 N 1.99
79 Sb 0.2500 0.1250 0.8750  4 N 1.99
80 Sb 0.1250 0.7500 0.8750  4 N 1.99

Properties
Magnetic moment ... 0.34 μB/f.u.
Symmetry ... Ia-3d
E_tot ... -7.7095 eV per atom

---

[5]
BaHgPO: relaxed, GGA-PBE.

abc: 6.5746 6.5746 4.7982
angles: 90.00 90.00 90.00
Closest atoms and distances in Å follow each position.
Atoms (fractional coordinates):
1 Ba 0.0000 0.0000 0.5000  2 O 2.40
2 Ba 0.5000 0.5000 0.5000  2 O 2.40
3 Hg 0.0000 0.5000 0.0025  2 P 2.40
4 Hg 0.5000 0.0000 0.9975  2 P 2.40
5 O 0.0000 0.0000 0.0000  2 Ba 2.40
6 O 0.5000 0.5000 0.0000  2 Ba 2.40
7 P 0.5000 0.0000 0.4976  2 Hg 2.40
8 P 0.0000 0.5000 0.5024  2 Hg 2.40

Properties
Energy above the most stable polymorph in this dataset ... 378 meV per atom
Symmetry ... P4/nmm

---

[6]
NaSiHg: relaxed, GGA-PBE.

abc: 4.6069 4.6069 4.6069
angles: 60.00 60.00 60.00
Closest atoms and distances in Å follow each position.
Atoms (fractional coordinates):
1 Hg 0.2500 0.2500 0.2500  4 Si 2.82
2 Na 0.7500 0.7500 0.7500  4 Si 2.82
3 Si 0.0000 0.0000 0.0000  4 Na 2.82, 4 Hg 2.82

Properties
Energy above the most stable polymorph in this dataset ... 0 meV per atom
Symmetry ... F-43m

---

[7]
Li2ScPt: relaxed, GGA-PBE.

abc: 4.4928 4.4928 4.4928
angles: 60.00 60.00 60.00
Closest atoms and distances in Å follow each position.
Atoms (fractional coordinates):
1 Li 0.0000 0.0000 0.0000  4 Sc 2.75, 4 Li 2.75
2 Li 0.2500 0.2500 0.2500  4 Pt 2.75, 4 Li 2.75
3 Pt 0.5000 0.5000 0.5000  4 Sc 2.75, 4 Li 2.75
4 Sc 0.7500 0.7500 0.7500  4 Pt 2.75, 4 Li 2.75

Properties
Magnetic moment ... 0.00 μB/f.u.
Symmetry ... F-43m
E_tot ... -4.6263 eV per atom

---

[8]
MgFeAsPd: relaxed, GGA-PBE.

abc: 4.3828 4.3828 4.3828
angles: 60.00 60.00 60.00
Closest atoms and distances in Å follow each position.
Atoms (fractional coordinates):
1 As 0.0000 0.0000 0.0000  4 Fe 2.68, 4 Pd 2.68
2 Fe 0.7500 0.7500 0.7500  4 As 2.68, 4 Mg 2.68
3 Mg 0.5000 0.5000 0.5000  4 Fe 2.68, 4 Pd 2.68
4 Pd 0.2500 0.2500 0.2500  4 Mg 2.68, 4 As 2.68

Properties
Energy above the most stable polymorph in this dataset ... 0 meV per atom
Magnetic moment ... 2.32 μB/f.u.
Symmetry ... F-43m